Record 1
The following is a DFT calculation (GGA-PBEsol) of crystalline B2Mo2Os at its relaxed geometry.

```
data_B2Mo2Os
_chemical_formula_sum 'B8 Mo8 Os4'
_cell_length_a 7.516
_cell_length_b 9.576
_cell_length_c 3.049
_cell_angle_alpha 90.00
_cell_angle_beta 90.00
_cell_angle_gamma 90.00
_symmetry_space_group_name_H-M 'P n n m'
_symmetry_Int_Tables_number 58
_symmetry_space_group_name_Hall '-P 2 2n'
loop_
_atom_site_label
_atom_site_type_symbol
_atom_site_fract_x
_atom_site_fract_y
_atom_site_fract_z
_atom_site_occupancy
B1 B 0.115 0.039 0.000 1
B2 B 0.122 0.233 0.000 1
Mo1 Mo 0.076 0.861 0.500 1
Mo2 Mo 0.193 0.631 0.000 1
Os1 Os 0.118 0.393 0.500 1
```

Properties
Formation energy from the elements = -0.42 eV per atom

Record 2
The following is a DFT calculation (GGA-PBEsol) of crystalline IrSeNF2 at its relaxed geometry.

```
data_IrSeNF2
_chemical_formula_sum 'Ir1 Se1 N1 F2'
_cell_length_a 4.210
_cell_length_b 4.210
_cell_length_c 3.822
_cell_angle_alpha 90.00
_cell_angle_beta 90.00
_cell_angle_gamma 90.00
_symmetry_space_group_name_H-M 'P 4/m m m'
_symmetry_Int_Tables_number 123
_symmetry_space_group_name_Hall '-P 4 2'
loop_
_atom_site_label
_atom_site_type_symbol
_atom_site_fract_x
_atom_site_fract_y
_atom_site_fract_z
_atom_site_occupancy
Ir1 Ir 0.000 0.000 0.000 1
Se1 Se 0.500 0.500 0.500 1
N1 N 0.500 0.500 0.000 1
F1 F 0.000 0.500 0.500 1
```

Properties
Energy relative to the elements, uncorrected = 1077 meV per atom

Record 3
The following is a DFT calculation (GGA-PBEsol) of crystalline TaTcBiAu2 at its relaxed geometry.

```
data_TaTcBiAu2
_chemical_formula_sum 'Ta1 Tc1 Bi1 Au2'
_cell_length_a 4.925
_cell_length_b 4.925
_cell_length_c 4.989
_cell_angle_alpha 90.00
_cell_angle_beta 90.00
_cell_angle_gamma 90.00
_symmetry_space_group_name_H-M 'P 4/m m m'
_symmetry_Int_Tables_number 123
_symmetry_space_group_name_Hall '-P 4 2'
loop_
_atom_site_label
_atom_site_type_symbol
_atom_site_fract_x
_atom_site_fract_y
_atom_site_fract_z
_atom_site_occupancy
Ta1 Ta 0.000 0.000 0.000 1
Tc1 Tc 0.500 0.500 0.500 1
Bi1 Bi 0.500 0.500 0.000 1
Au1 Au 0.000 0.500 0.500 1
```

Properties
Formation energy from the elements = 1.66 eV per atom

Record 4
The following is a DFT calculation (GGA-PBEsol) of crystalline LiBr3 at its relaxed geometry.

```
data_LiBr3
_chemical_formula_sum 'Li1 Br3'
_cell_length_a 3.604
_cell_length_b 3.604
_cell_length_c 7.132
_cell_angle_alpha 90.00
_cell_angle_beta 90.00
_cell_angle_gamma 90.00
_symmetry_space_group_name_H-M 'P 4/m m m'
_symmetry_Int_Tables_number 123
_symmetry_space_group_name_Hall '-P 4 2'
loop_
_atom_site_label
_atom_site_type_symbol
_atom_site_fract_x
_atom_site_fract_y
_atom_site_fract_z
_atom_site_occupancy
Li1 Li 0.000 0.000 0.000 1
Br1 Br 0.000 0.000 0.500 1
Br2 Br 0.500 0.500 0.187 1
```

Properties
ΔE to the lowest computed polymorph = 0.34 eV per formula unit
Energy relative to the elements, uncorrected = -397 meV per atom

Record 5
The following is a DFT calculation (GGA-PBEsol) of crystalline H3RuO at its relaxed geometry.

```
data_H3RuO
_chemical_formula_sum 'H3 Ru1 O1'
_cell_length_a 3.126
_cell_length_b 3.126
_cell_length_c 3.126
_cell_angle_alpha 90.00
_cell_angle_beta 90.00
_cell_angle_gamma 90.00
_symmetry_space_group_name_H-M 'P m -3 m'
_symmetry_Int_Tables_number 221
_symmetry_space_group_name_Hall '-P 4 2 3'
loop_
_atom_site_label
_atom_site_type_symbol
_atom_site_fract_x
_atom_site_fract_y
_atom_site_fract_z
_atom_site_occupancy
H1 H 0.000 0.000 0.500 1
Ru1 Ru 0.500 0.500 0.500 1
O1 O 0.000 0.000 0.000 1
```

Record 6
The following is a DFT calculation (GGA-PBEsol) of crystalline Li2NiAs2 at its relaxed geometry.

```
data_Li2NiAs2
_chemical_formula_sum 'Li4 Ni2 As4'
_cell_length_a 6.015
_cell_length_b 6.015
_cell_length_c 4.200
_cell_angle_alpha 90.00
_cell_angle_beta 90.00
_cell_angle_gamma 90.00
_symmetry_space_group_name_H-M 'P 4/m b m'
_symmetry_Int_Tables_number 127
_symmetry_space_group_name_Hall '-P 4 2ab'
loop_
_atom_site_label
_atom_site_type_symbol
_atom_site_fract_x
_atom_site_fract_y
_atom_site_fract_z
_atom_site_occupancy
Li1 Li 0.168 0.332 0.000 1
Ni1 Ni 0.000 0.000 0.500 1
As1 As 0.146 0.646 0.500 1
```

Properties
Formation energy from the elements = -0.52 eV per atom

Record 7
The following is a DFT calculation (GGA-PBEsol) of crystalline CdSbPb at its relaxed geometry.

```
data_CdSbPb
_chemical_formula_sum 'Cd4 Sb4 Pb4'
_cell_length_a 4.404
_cell_length_b 5.145
_cell_length_c 13.868
_cell_angle_alpha 90.00
_cell_angle_beta 90.00
_cell_angle_gamma 90.00
_symmetry_space_group_name_H-M 'F m m 2'
_symmetry_Int_Tables_number 42
_symmetry_space_group_name_Hall 'F 2 -2'
loop_
_atom_site_label
_atom_site_type_symbol
_atom_site_fract_x
_atom_site_fract_y
_atom_site_fract_z
_atom_site_occupancy
Cd1 Cd 0.000 0.000 0.000 1
Sb1 Sb 0.000 0.000 0.347 1
Pb1 Pb 0.000 0.000 0.663 1
```

Properties
Energy relative to the elements, uncorrected = 100 meV per atom

Record 8
The following is a DFT calculation (GGA-PBEsol) of crystalline BaLaMg4 at its relaxed geometry.

```
data_BaLaMg4
_chemical_formula_sum 'Ba4 La4 Mg16'
_cell_length_a 8.935
_cell_length_b 8.935
_cell_length_c 8.935
_cell_angle_alpha 90.00
_cell_angle_beta 90.00
_cell_angle_gamma 90.00
_symmetry_space_group_name_H-M 'F -4 3 m'
_symmetry_Int_Tables_number 216
_symmetry_space_group_name_Hall 'F -4 2 3'
loop_
_atom_site_label
_atom_site_type_symbol
_atom_site_fract_x
_atom_site_fract_y
_atom_site_fract_z
_atom_site_occupancy
Ba1 Ba 0.000 0.000 0.000 1
La1 La 0.250 0.250 0.750 1
Mg1 Mg 0.124 0.124 0.376 1
```

Properties
Formation energy from the elements = -0.07 eV per atom

| no. | E (eV/atom) | density (g/cm³) |
| --- | --- | --- |
| 1 | -10.37 | 12.22 |
| 2 | -4.13 | 7.92 |
| 3 | -5.53 | 12.10 |
| 4 | -2.29 | 4.42 |
| 5 | -4.11 | 6.53 |
| 6 | -4.58 | 4.86 |
| 7 | -3.15 | 9.33 |
| 8 | -2.46 | 3.48 |